[1]
! PBE Ba2C2BrO6, relaxed; values from VASP
! - V: 17.98 A^3/atom
! - Uncorrected formation energy: -1966 meV/atom
&SYSTEM
  ibrav = 0, nat = 11, ntyp = 4
/
ATOMIC_SPECIES
C 12.01 C.upf
Ba 137.33 Ba.upf
O 16.00 O.upf
Br 79.90 Br.upf
CELL_PARAMETERS angstrom
6.944 0.903 0.977
4.255 4.994 0.526
0.645 -2.626 6.548
ATOMIC_POSITIONS crystal
C 0.939 0.238 0.178
C 0.061 0.762 0.822
Ba 0.256 0.500 0.245
Ba 0.744 0.500 0.755
O 0.273 0.617 0.891
O 0.727 0.383 0.109
O 0.829 0.837 0.911
O 0.171 0.163 0.089
O 0.922 0.164 0.334
O 0.078 0.836 0.666
Br 0.500 0.000 0.500

=====

[2]
! PBE Ba2PCBr, relaxed; values from VASP
! - V: 30.33 A^3/atom
! - Uncorrected formation energy: 440 meV/atom
&SYSTEM
  ibrav = 0, nat = 5, ntyp = 4
/
ATOMIC_SPECIES
C 12.01 C.upf
Ba 137.33 Ba.upf
Br 79.90 Br.upf
P 30.97 P.upf
CELL_PARAMETERS angstrom
-1.059 -2.117 5.633
-1.866 -3.248 -1.571
5.323 -2.997 -0.126
ATOMIC_POSITIONS crystal
C 0.000 0.500 0.000
Ba 0.500 0.000 0.000
Ba 0.000 0.000 0.500
Br 0.000 0.000 0.000
P 0.500 0.500 0.500

=====

[3]
! PBE Rb2BaCBr6, relaxed; values from VASP
! - V: 36.02 A^3/atom
! - Uncorrected formation energy: -815 meV/atom
&SYSTEM
  ibrav = 0, nat = 10, ntyp = 4
/
ATOMIC_SPECIES
Rb 85.47 Rb.upf
Br 79.90 Br.upf
C 12.01 C.upf
Ba 137.33 Ba.upf
CELL_PARAMETERS angstrom
7.986 0.000 0.000
0.000 7.986 0.000
3.993 3.993 5.648
ATOMIC_POSITIONS crystal
Rb 0.750 0.250 0.500
Rb 0.250 0.750 0.500
Br 0.278 0.278 0.444
Br 0.722 0.722 0.000
Br 0.278 0.278 0.000
Br 0.722 0.722 0.556
Br 0.278 0.722 0.000
Br 0.722 0.278 0.000
C 0.500 0.500 0.000
Ba 0.000 0.000 0.000

=====

[4]
! PBE Ba2RhCBr, relaxed; values from VASP
! - V: 27.41 A^3/atom
! - Uncorrected formation energy: -634 meV/atom
&SYSTEM
  ibrav = 0, nat = 5, ntyp = 4
/
ATOMIC_SPECIES
Rh 102.91 Rh.upf
C 12.01 C.upf
Ba 137.33 Ba.upf
Br 79.90 Br.upf
CELL_PARAMETERS angstrom
-1.906 -1.495 -5.386
3.684 -4.616 -0.022
-2.798 -2.240 1.611
ATOMIC_POSITIONS crystal
Rh 0.000 0.000 0.500
C 0.000 0.000 0.000
Ba 0.000 0.500 0.000
Ba 0.500 0.000 0.000
Br 0.500 0.500 0.500

=====

[5]
! PBE BaCSe2Br, relaxed; values from VASP
! - V: 55.51 A^3/atom
! - Uncorrected formation energy: 1260 meV/atom
&SYSTEM
  ibrav = 0, nat = 5, ntyp = 4
/
ATOMIC_SPECIES
Br 79.90 Br.upf
Ba 137.33 Ba.upf
C 12.01 C.upf
Se 78.96 Se.upf
CELL_PARAMETERS angstrom
6.652 0.000 0.000
0.000 6.652 0.000
0.000 0.000 6.272
ATOMIC_POSITIONS crystal
Br 0.000 0.000 0.500
Ba 0.000 0.000 0.000
C 0.500 0.500 0.500
Se 0.000 0.500 0.000
Se 0.500 0.000 0.000

=====

[6]
! PBE BaCSeBr2, relaxed; values from VASP
! - V: 51.33 A^3/atom
! - Uncorrected formation energy: 973 meV/atom
&SYSTEM
  ibrav = 0, nat = 5, ntyp = 4
/
ATOMIC_SPECIES
Br 79.90 Br.upf
Ba 137.33 Ba.upf
C 12.01 C.upf
Se 78.96 Se.upf
CELL_PARAMETERS angstrom
6.268 0.000 0.000
0.000 6.268 0.000
0.000 0.000 6.532
ATOMIC_POSITIONS crystal
Br 0.500 0.000 0.000
Br 0.000 0.500 0.000
Ba 0.000 0.000 0.000
C 0.500 0.500 0.500
Se 0.000 0.000 0.500

=====

[7]
! PBE BaCSe2Br, relaxed; values from VASP
! - V: 23.60 A^3/atom
! - Uncorrected formation energy: -28 meV/atom
&SYSTEM
  ibrav = 0, nat = 5, ntyp = 4
/
ATOMIC_SPECIES
Ba 137.33 Ba.upf
Se 78.96 Se.upf
C 12.01 C.upf
Br 79.90 Br.upf
CELL_PARAMETERS angstrom
-1.372 4.263 -0.969
-3.980 -0.797 2.127
2.220 1.813 4.833
ATOMIC_POSITIONS crystal
Ba 0.500 0.500 0.500
Se 0.500 0.000 0.000
Se 0.000 0.500 0.000
C 0.000 0.000 0.000
Br 0.000 0.000 0.500

=====

[8]
! PBE BaCSeBr2, relaxed; values from VASP
! - V: 24.56 A^3/atom
! - Uncorrected formation energy: -114 meV/atom
&SYSTEM
  ibrav = 0, nat = 5, ntyp = 4
/
ATOMIC_SPECIES
Ba 137.33 Ba.upf
Br 79.90 Br.upf
C 12.01 C.upf
Se 78.96 Se.upf
CELL_PARAMETERS angstrom
5.195 0.000 0.000
0.000 5.195 0.000
0.000 0.000 4.550
ATOMIC_POSITIONS crystal
Ba 0.500 0.500 0.500
Br 0.000 0.500 0.000
Br 0.500 0.000 0.000
C 0.000 0.000 0.000
Se 0.000 0.000 0.500

=====

[9]
! PBE BaTeC2Br, relaxed; values from VASP
! - V: 36.18 A^3/atom
! - Uncorrected formation energy: 2288 meV/atom
&SYSTEM
  ibrav = 0, nat = 5, ntyp = 4
/
ATOMIC_SPECIES
Te 127.60 Te.upf
C 12.01 C.upf
Br 79.90 Br.upf
Ba 137.33 Ba.upf
CELL_PARAMETERS angstrom
4.995 0.000 0.000
0.000 7.251 0.000
0.000 0.000 4.995
ATOMIC_POSITIONS crystal
Te 0.000 0.500 0.000
C 0.500 0.000 0.000
C 0.000 0.000 0.500
Br 0.500 0.500 0.500
Ba 0.000 0.000 0.000

=====

[10]
! PBE BaTlC2Br, relaxed; values from VASP
! - V: 25.65 A^3/atom
! - Uncorrected formation energy: 1354 meV/atom
&SYSTEM
  ibrav = 0, nat = 5, ntyp = 4
/
ATOMIC_SPECIES
Ba 137.33 Ba.upf
C 12.01 C.upf
Tl 204.38 Tl.upf
Br 79.90 Br.upf
CELL_PARAMETERS angstrom
4.609 0.000 0.000
0.000 6.040 0.000
0.000 0.000 4.609
ATOMIC_POSITIONS crystal
Ba 0.500 0.500 0.500
C 0.000 0.000 0.500
C 0.500 0.000 0.000
Tl 0.000 0.000 0.000
Br 0.000 0.500 0.000

=====

[11]
! PBE BaY2CBr, relaxed; values from VASP
! - V: 45.37 A^3/atom
! - Uncorrected formation energy: 1963 meV/atom
&SYSTEM
  ibrav = 0, nat = 5, ntyp = 4
/
ATOMIC_SPECIES
Y 88.91 Y.upf
Br 79.90 Br.upf
Ba 137.33 Ba.upf
C 12.01 C.upf
CELL_PARAMETERS angstrom
6.200 0.000 0.000
0.000 5.901 0.000
0.000 0.000 6.200
ATOMIC_POSITIONS crystal
Y 0.500 0.000 0.000
Y 0.000 0.000 0.500
Br 0.000 0.500 0.000
Ba 0.000 0.000 0.000
C 0.500 0.500 0.500

=====

[12]
! PBE BaZrCBr2, relaxed; values from VASP
! - V: 39.98 A^3/atom
! - Uncorrected formation energy: 628 meV/atom
&SYSTEM
  ibrav = 0, nat = 5, ntyp = 4
/
ATOMIC_SPECIES
Ba 137.33 Ba.upf
Br 79.90 Br.upf
C 12.01 C.upf
Zr 91.22 Zr.upf
CELL_PARAMETERS angstrom
5.161 0.000 0.000
0.000 7.505 0.000
0.000 0.000 5.161
ATOMIC_POSITIONS crystal
Ba 0.000 0.500 0.000
Br 0.000 0.000 0.500
Br 0.500 0.000 0.000
C 0.500 0.500 0.500
Zr 0.000 0.000 0.000

=====

no.,DOS at the Fermi energy (states/eV per cell)
1,6.3
2,4.3
3,0.0
4,2.7
5,7.6
6,17.8
7,2.7
8,1.2
9,4.4
10,4.1
11,4.8
12,2.3